# 1
A plane-wave DFT calculation with PBE was carried out for a geometry-optimized PuPaTcMo structure.

Cell: 6.8440 6.8440 6.8440 Å, 90.00 90.00 90.00°
Fractional coordinates of all 16 atoms:
Pu  0.0000  0.0000  0.0000
Pu  0.0000  0.5000  0.5000
Pu  0.5000  0.0000  0.5000
Pu  0.5000  0.5000  0.0000
Pa  0.0000  0.0000  0.5000
Pa  0.0000  0.5000  0.0000
Pa  0.5000  0.0000  0.0000
Pa  0.5000  0.5000  0.5000
Tc  0.2500  0.2500  0.2500
Tc  0.2500  0.7500  0.7500
Tc  0.7500  0.2500  0.7500
Tc  0.7500  0.7500  0.2500
Mo  0.2500  0.2500  0.7500
Mo  0.2500  0.7500  0.2500
Mo  0.7500  0.2500  0.2500
Mo  0.7500  0.7500  0.7500

ΔH_f (0 K), eV/f.u.: 0.4
Crystal system: cubic
Calculated volume, Å³/cell: 320.6
Total energy, eV/atom: -11.15



# 2
A plane-wave DFT calculation with PBE was carried out for a geometry-optimized PuPaTiMo structure.

Cell: 6.7935 6.7935 6.7935 Å, 90.00 90.00 90.00°
Fractional coordinates of all 16 atoms:
Pu  0.0000  0.0000  0.0000
Pu  0.0000  0.5000  0.5000
Pu  0.5000  0.0000  0.5000
Pu  0.5000  0.5000  0.0000
Pa  0.2500  0.2500  0.7500
Pa  0.2500  0.7500  0.2500
Pa  0.7500  0.2500  0.2500
Pa  0.7500  0.7500  0.7500
Ti  0.2500  0.2500  0.2500
Ti  0.2500  0.7500  0.7500
Ti  0.7500  0.2500  0.7500
Ti  0.7500  0.7500  0.2500
Mo  0.0000  0.0000  0.5000
Mo  0.0000  0.5000  0.0000
Mo  0.5000  0.0000  0.0000
Mo  0.5000  0.5000  0.5000

ΔH_f (0 K), eV/f.u.: 0.3
Crystal system: cubic
Calculated volume, Å³/cell: 313.5
Total energy, eV/atom: -10.55